Entry from the Alexandria database: a relaxed structure of NdEuCoCu (PBE).

a = 7.0391 Å, b = 7.0391 Å, c = 7.0391 Å
α = 90.00°, β = 90.00°, γ = 90.00°
Last column: nearest neighbours and their distance in Å.
Atoms (fractional coordinates):
Nd: 0.0000 0.0000 0.0000  4 Co 3.05, 4 Cu 3.05
Nd: 0.0000 0.5000 0.5000  4 Co 3.05, 4 Cu 3.05
Nd: 0.5000 0.0000 0.5000  4 Co 3.05, 4 Cu 3.05
Nd: 0.5000 0.5000 0.0000  4 Co 3.05, 4 Cu 3.05
Eu: 0.0000 0.0000 0.5000  4 Co 3.05, 4 Cu 3.05
Eu: 0.0000 0.5000 0.0000  4 Co 3.05, 4 Cu 3.05
Eu: 0.5000 0.0000 0.0000  4 Co 3.05, 4 Cu 3.05
Eu: 0.5000 0.5000 0.5000  4 Co 3.05, 4 Cu 3.05
Co: 0.2500 0.2500 0.7500  4 Nd 3.05, 4 Eu 3.05
Co: 0.2500 0.7500 0.2500  4 Nd 3.05, 4 Eu 3.05
Co: 0.7500 0.2500 0.2500  4 Nd 3.05, 4 Eu 3.05
Co: 0.7500 0.7500 0.7500  4 Nd 3.05, 4 Eu 3.05
Cu: 0.2500 0.2500 0.2500  4 Eu 3.05, 4 Nd 3.05
Cu: 0.2500 0.7500 0.7500  4 Nd 3.05, 4 Eu 3.05
Cu: 0.7500 0.2500 0.7500  4 Nd 3.05, 4 Eu 3.05
Cu: 0.7500 0.7500 0.2500  4 Nd 3.05, 4 Eu 3.05

Summary:
ΔE_f: 38 meV per atom
Magnetic moment: 26.9 μB per cell